Record 1
The following is a DFT calculation (PBE-GGA) of an optimized crystal structure of NaIn3Au4.

extended XYZ file:
```
16
Lattice="-0.259 -2.096 5.158 9.727 0.210 0.573 -0.299 6.597 2.665" Properties=species:S:1:pos:R:3 pbc="T T T"
Au 3.432 4.664 2.253
Au 5.877 0.370 3.642
Au 0.907 -0.980 2.528
Au 1.069 1.833 5.097
Au 3.555 1.961 1.160
In 6.190 4.888 2.477
Au 8.269 -0.268 1.593
In 8.156 -1.327 4.201
In 3.105 0.475 3.540
Au 5.701 4.264 5.215
In 6.327 1.860 1.253
In 1.178 2.869 2.544
Na 1.261 -2.027 5.158
Au 8.294 1.436 6.891
Na 7.937 2.464 4.307
In 2.943 4.044 4.982
```

DOS at the Fermi energy: 3.228 states/eV/f.u.
M_tot: 0.00 μB/f.u.
energy of formation: -3.19 kcal/mol of atoms

Record 2
The following is a DFT calculation (PBE-GGA) of an optimized crystal structure of LiIn2Tc.

extended XYZ file:
```
8
Lattice="4.253 0.000 0.000 0.000 4.253 0.000 2.126 2.126 9.342" Properties=species:S:1:pos:R:3 pbc="T T T"
Tc 0.000 0.000 0.000
Tc 4.253 2.126 4.671
In 1.030 3.190 2.335
In 3.190 3.156 7.006
In 3.223 1.063 2.335
In 5.316 5.350 7.006
Li 2.126 2.126 0.000
Li 2.126 4.253 4.671
```

DOS at the Fermi energy: 2.180 states/eV/f.u.
M_tot: 1.15 μB/f.u.
offset from the most stable computed form: 565.8 meV per atom
energy of formation: 13.28 kcal/mol of atoms

Record 3
The following is a DFT calculation (PBE-GGA) of an optimized crystal structure of Tc3Hg.

extended XYZ file:
```
4
Lattice="2.846 0.000 -0.003 0.000 3.969 0.000 2.851 0.000 5.743" Properties=species:S:1:pos:R:3 pbc="T T T"
Tc 2.848 0.000 2.870
Tc 1.426 1.984 1.671
Tc 4.271 1.984 4.069
Hg 0.000 0.000 0.000
```

DOS at the Fermi energy: 3.202 states/eV/f.u.
M_tot: 0.00 μB/f.u.
offset from the most stable computed form: 55.4 meV per atom
energy of formation: 8.11 kcal/mol of atoms

Record 4
The following is a DFT calculation (PBE-GGA) of an optimized crystal structure of Cs2Sn2Se3.

extended XYZ file:
```
7
Lattice="-5.586 -2.299 -0.008 2.405 -4.966 4.844 0.041 6.832 3.275" Properties=species:S:1:pos:R:3 pbc="T T T"
Sn 0.129 0.011 2.719
Se -0.125 0.259 5.385
Se 1.203 -2.483 2.422
Sn -3.269 -0.445 5.391
Cs -1.478 -3.857 4.499
Se -3.015 -0.693 2.725
Cs -1.662 3.424 3.611
```

M_tot: 0.00 μB/f.u.
formation energy without anion corrections: -5.5 eV per formula unit
offset from the most stable computed form: 0.0 meV per atom

Record 5
The following is a DFT calculation (PBE-GGA) of an optimized crystal structure of Dy2Ti2Fe15.

extended XYZ file:
```
19
Lattice="-4.402 0.672 -4.640 -5.214 0.114 3.763 -0.668 6.386 0.359" Properties=species:S:1:pos:R:3 pbc="T T T"
Fe -2.607 0.057 1.882
Dy -6.690 4.666 -0.337
Fe -3.857 5.634 0.001
Fe -3.844 2.004 2.737
Ti -1.055 0.736 -0.053
Fe -5.714 2.793 -2.485
Fe -6.426 1.538 -0.519
Fe -4.569 4.379 1.967
Fe -2.201 0.336 -2.320
Ti -9.228 6.436 -0.465
Fe -4.969 0.282 1.231
Fe -0.334 3.193 0.180
Fe -3.276 2.394 -3.134
Fe -6.118 2.515 1.694
Fe -4.165 4.657 -2.212
Dy -3.594 2.506 -0.181
Fe -2.038 4.496 1.385
Fe -4.646 0.504 -2.108
Fe -1.793 4.664 -1.147
```

DOS at the Fermi energy: 19.438 states/eV/f.u.
M_tot: 28.66 μB/f.u.
energy of formation: -2.12 kcal/mol of atoms

Record 6
The following is a DFT calculation (PBE-GGA) of an optimized crystal structure of La3CoPt.

extended XYZ file:
```
5
Lattice="-5.013 -0.385 1.271 -0.166 -4.743 -2.092 1.318 -2.063 4.572" Properties=species:S:1:pos:R:3 pbc="T T T"
Co 0.000 0.000 0.000
La -2.507 -0.192 0.636
Pt -1.931 -3.595 1.876
La -0.083 -2.371 -1.046
La 0.659 -1.032 2.286
```

DOS at the Fermi energy: 5.608 states/eV/f.u.
M_tot: 0.00 μB/f.u.
offset from the most stable computed form: 311.6 meV per atom
energy of formation: -5.03 kcal/mol of atoms

Record 7
The following is a DFT calculation (PBE-GGA) of an optimized crystal structure of RbCa2Se2.

extended XYZ file:
```
10
Lattice="8.563 0.000 0.000 0.000 8.563 0.000 0.000 0.000 3.986" Properties=species:S:1:pos:R:3 pbc="T T T"
Ca 3.018 1.263 1.993
Se 3.015 7.296 0.000
Se 7.296 5.547 0.000
Ca 1.263 5.545 1.993
Rb 4.281 4.281 0.000
Rb 0.000 0.000 0.000
Se 1.266 3.015 0.000
Ca 5.545 7.299 1.993
Ca 7.299 3.018 1.993
Se 5.547 1.266 0.000
```

DOS at the Fermi energy: 1.764 states/eV/f.u.
M_tot: 0.81 μB/f.u.
formation energy without anion corrections: -6.0 eV per formula unit
offset from the most stable computed form: 152.2 meV per atom

Record 8
The following is a DFT calculation (PBE-GGA) of an optimized crystal structure of Ce2NdVN5.

extended XYZ file:
```
18
Lattice="-0.189 -2.755 1.988 8.212 2.161 0.863 -2.218 5.480 7.381" Properties=species:S:1:pos:R:3 pbc="T T T"
N 3.626 4.272 6.263
Ce 6.089 0.192 3.756
N 0.389 3.597 7.931
N 5.866 0.665 1.479
N 0.499 0.236 0.375
N 6.302 5.101 7.667
V 6.281 3.171 4.991
Ce 0.068 3.826 5.306
Nd 3.339 1.841 5.779
N 2.451 -0.057 3.066
N 4.905 2.554 4.005
Ce 4.497 3.632 8.371
Nd 3.545 0.382 0.866
N 6.269 2.272 6.655
N -0.670 0.213 3.143
Ce 1.078 1.823 2.628
N 0.971 1.671 5.319
V -1.365 3.912 8.201
```

DOS at the Fermi energy: 8.311 states/eV/f.u.
M_tot: 1.09 μB/f.u.
formation energy without anion corrections: -10.9 eV per formula unit

Record 9
The following is a DFT calculation (PBE-GGA) of an optimized crystal structure of TeSe2IN.

extended XYZ file:
```
5
Lattice="5.600 0.000 0.000 0.000 5.600 0.000 0.000 0.000 3.937" Properties=species:S:1:pos:R:3 pbc="T T T"
Se 0.000 2.800 0.000
Se 2.800 0.000 0.000
I 0.000 0.000 0.000
N 0.000 0.000 1.968
Te 2.800 2.800 1.968
```

DOS at the Fermi energy: 3.033 states/eV/f.u.
M_tot: 0.00 μB/f.u.
formation energy without anion corrections: 6.2 eV per formula unit
offset from the most stable computed form: 241.0 meV per atom

Record 10
The following is a DFT calculation (PBE-GGA) of an optimized crystal structure of YMo2Pt.

extended XYZ file:
```
4
Lattice="-0.419 -4.280 1.744 -3.338 -2.823 -1.557 1.102 -3.683 -2.600" Properties=species:S:1:pos:R:3 pbc="T T T"
Mo -1.991 -8.089 -1.810
Pt -1.328 -5.393 -1.207
Y 0.000 0.000 0.000
Mo -0.664 -2.696 -0.603
```

DOS at the Fermi energy: 6.515 states/eV/f.u.
M_tot: 0.00 μB/f.u.
offset from the most stable computed form: 483.4 meV per atom
energy of formation: 7.99 kcal/mol of atoms